# ScReSnS2

A relaxed ScReSnS2 crystal (PBEsol, the Alexandria database).

Structure (POSCAR):
```
ScReSnS2
1.0
4.749 0.000 0.000
0.000 4.749 0.000
0.000 0.000 5.165
Sc Re S Sn
1 1 2 1
direct
0.000 0.000 0.000 Sc
0.000 0.000 0.500 Re
0.000 0.500 0.000 S
0.500 0.000 0.000 S
0.500 0.500 0.500 Sn
```

Results
- energy relative to the elements, uncorrected (meV per atom) = 660.4
- VASP energy (eV per atom) = -5.933
- D(E_F) (states/eV per cell) = 3.56
- space-group type = P4/mmm (123)

# ReSe2S

A relaxed ReSe2S crystal (PBEsol, the Alexandria database).

Structure (POSCAR):
```
ReSe2S
1.0
-2.329 2.468 2.893
-3.087 -1.915 2.585
0.715 -0.431 4.380
Se Re S
2 1 1
direct
0.250 0.250 0.250 Se
0.750 0.750 0.750 Se
0.500 0.500 0.500 Re
0.000 0.000 0.000 S
```

Results
- energy relative to the elements, uncorrected (meV per atom) = 675.8
- VASP energy (eV per atom) = -5.678
- D(E_F) (states/eV per cell) = 2.20
- space-group type = Fm-3m (225)

# ReSeS2

A relaxed ReSeS2 crystal (PBEsol, the Alexandria database).

Structure (POSCAR):
```
ReSeS2
1.0
-1.385 0.287 -4.103
2.455 -1.539 -3.232
-1.216 -3.578 -2.135
S Re Se
2 1 1
direct
0.750 0.750 0.750 S
0.250 0.250 0.250 S
0.500 0.500 0.500 Re
0.000 0.000 0.000 Se
```

Results
- energy relative to the elements, uncorrected (meV per atom) = 612.6
- VASP energy (eV per atom) = -5.875
- D(E_F) (states/eV per cell) = 2.22
- space-group type = Fm-3m (225)

# Tl2ReSnS

A relaxed Tl2ReSnS crystal (PBEsol, the Alexandria database).

Structure (POSCAR):
```
Tl2ReSnS
1.0
-3.932 -2.433 2.104
3.153 -3.995 1.274
1.044 2.292 4.602
Re Tl Sn S
1 2 1 1
direct
0.000 0.000 0.000 Re
0.000 0.000 0.500 Tl
0.000 0.500 0.000 Tl
0.500 0.000 0.000 Sn
0.500 0.500 0.500 S
```

Results
- energy relative to the elements, uncorrected (meV per atom) = 747.8
- VASP energy (eV per atom) = -4.699
- D(E_F) (states/eV per cell) = 6.45
- space-group type = P4/mmm (123)

# Sr2Re6S11

A relaxed Sr2Re6S11 crystal (PBEsol, the Alexandria database).

Structure (POSCAR):
```
Sr2Re6S11
1.0
8.984 0.000 0.000
4.492 7.780 0.000
4.492 2.593 10.485
Re S Sr
12 22 4
direct
0.117 0.785 0.103 Re
0.285 0.617 0.603 Re
0.785 0.995 0.103 Re
0.617 0.495 0.603 Re
0.495 0.285 0.603 Re
0.505 0.715 0.397 Re
0.005 0.883 0.897 Re
0.383 0.505 0.397 Re
0.215 0.005 0.897 Re
0.995 0.117 0.103 Re
0.715 0.383 0.397 Re
0.883 0.215 0.897 Re
0.085 0.309 0.908 S
0.093 0.093 0.722 S
0.407 0.407 0.778 S
0.750 0.498 0.750 S
0.198 0.809 0.408 S
0.907 0.907 0.278 S
0.698 0.085 0.908 S
0.498 0.002 0.750 S
0.915 0.691 0.092 S
0.415 0.802 0.592 S
0.593 0.593 0.222 S
0.691 0.302 0.092 S
0.585 0.198 0.408 S
0.809 0.585 0.408 S
0.502 0.998 0.250 S
0.002 0.750 0.750 S
0.802 0.191 0.592 S
0.302 0.915 0.092 S
0.309 0.698 0.908 S
0.191 0.415 0.592 S
0.250 0.502 0.250 S
0.998 0.250 0.250 S
0.189 0.189 0.432 Sr
0.689 0.689 0.932 Sr
0.811 0.811 0.568 Sr
0.311 0.311 0.068 Sr
```

Results
- energy relative to the elements, uncorrected (meV per atom) = -905.6
- VASP energy (eV per atom) = -7.848
- space-group type = R-3c (167)

# ReTeS3

A relaxed ReTeS3 crystal (PBEsol, the Alexandria database).

Structure (POSCAR):
```
ReTeS3
1.0
4.594 0.000 0.000
0.000 4.594 0.000
0.000 0.000 4.594
S Re Te
3 1 1
direct
0.000 0.500 0.000 S
0.500 0.000 0.000 S
0.000 0.000 0.500 S
0.000 0.000 0.000 Re
0.500 0.500 0.500 Te
```

Results
- energy relative to the elements, uncorrected (meV per atom) = 246.7
- VASP energy (eV per atom) = -5.755
- D(E_F) (states/eV per cell) = 2.68
- space-group type = Pm-3m (221)

# ReTeS

A relaxed ReTeS crystal (PBEsol, the Alexandria database).

Structure (POSCAR):
```
ReTeS
1.0
-3.014 -5.193 3.771
4.032 -5.002 3.000
0.776 -0.174 7.045
Te Re S
4 4 4
direct
0.123 0.631 0.123 Te
0.631 0.123 0.123 Te
0.123 0.123 0.631 Te
0.123 0.123 0.123 Te
0.848 0.848 0.457 Re
0.848 0.848 0.848 Re
0.848 0.457 0.848 Re
0.457 0.848 0.848 Re
0.140 0.620 0.620 S
0.620 0.140 0.620 S
0.620 0.620 0.140 S
0.620 0.620 0.620 S
```

Results
- energy relative to the elements, uncorrected (meV per atom) = -420.2
- VASP energy (eV per atom) = -7.501
- D(E_F) (states/eV per cell) = 0.08
- space-group type = F-43m (216)

# TlReS3

A relaxed TlReS3 crystal (PBEsol, the Alexandria database).

Structure (POSCAR):
```
TlReS3
1.0
-3.107 -1.534 -3.119
-2.952 -1.044 3.454
-1.835 4.277 -0.276
Re S Tl
1 3 1
direct
0.000 0.000 0.000 Re
0.500 0.000 0.000 S
0.000 0.500 0.000 S
0.000 0.000 0.500 S
0.500 0.500 0.500 Tl
```

Results
- energy relative to the elements, uncorrected (meV per atom) = -9.2
- VASP energy (eV per atom) = -5.832
- D(E_F) (states/eV per cell) = 2.77
- space-group type = Pm-3m (221)

# Tl2ZnReS

A relaxed Tl2ZnReS crystal (PBEsol, the Alexandria database).

Structure (POSCAR):
```
Tl2ZnReS
1.0
-3.916 -2.321 -1.635
2.973 -3.743 -1.806
-0.398 -2.467 4.457
Zn Tl S Re
1 2 1 1
direct
0.000 0.000 0.000 Zn
0.000 0.500 0.000 Tl
0.000 0.000 0.500 Tl
0.500 0.500 0.500 S
0.500 0.000 0.000 Re
```

Results
- energy relative to the elements, uncorrected (meV per atom) = 1352.8
- VASP energy (eV per atom) = -3.559
- D(E_F) (states/eV per cell) = 4.01
- space-group type = P4/mmm (123)

# ZrReS3

A relaxed ZrReS3 crystal (PBEsol, the Alexandria database).

Structure (POSCAR):
```
ZrReS3
1.0
-4.313 -1.489 1.740
2.233 -1.911 3.899
-0.508 4.240 2.369
S Zr Re
3 1 1
direct
0.000 0.500 0.000 S
0.500 0.000 0.000 S
0.000 0.000 0.500 S
0.000 0.000 0.000 Zr
0.500 0.500 0.500 Re
```

Results
- energy relative to the elements, uncorrected (meV per atom) = 602.9
- VASP energy (eV per atom) = -6.512
- D(E_F) (states/eV per cell) = 2.82
- space-group type = Pm-3m (221)

# ReSb2

A relaxed ReSb2 crystal (PBEsol, the Alexandria database).

Structure (POSCAR):
```
ReSb2
1.0
3.227 0.000 0.000
0.000 3.227 0.000
-1.613 -1.613 12.558
Re Sb
2 4
direct
0.000 0.000 0.000 Re
0.250 0.750 0.500 Re
0.565 0.565 0.130 Sb
0.435 0.435 0.870 Sb
0.815 0.315 0.630 Sb
0.685 0.185 0.370 Sb
```

Results
- energy relative to the elements, uncorrected (meV per atom) = 278.7
- VASP energy (eV per atom) = -7.204
- D(E_F) (states/eV per cell) = 3.64
- space-group type = I4_1/amd (141)

# Re3Sb2

A relaxed Re3Sb2 crystal (PBEsol, the Alexandria database).

Structure (POSCAR):
```
Re3Sb2
1.0
-1.949 -0.734 -3.902
0.348 -3.278 2.950
-4.817 1.415 2.140
Re Sb
3 2
direct
0.667 0.333 0.693 Re
0.000 0.000 0.000 Re
0.333 0.667 0.307 Re
0.667 0.333 0.207 Sb
0.333 0.667 0.793 Sb
```

Results
- energy relative to the elements, uncorrected (meV per atom) = 1049.7
- VASP energy (eV per atom) = -8.773
- D(E_F) (states/eV per cell) = 5.47
- space-group type = P-3m1 (164)

# ReSb8

A relaxed ReSb8 crystal (PBEsol, the Alexandria database).

Structure (POSCAR):
```
ReSb8
1.0
3.264 0.000 0.000
1.632 8.407 0.000
1.632 0.000 8.407
Sb Re
8 1
direct
0.000 0.339 0.661 Sb
0.365 0.000 0.271 Sb
0.661 0.339 0.339 Sb
0.000 0.661 0.339 Sb
0.339 0.661 0.661 Sb
0.635 0.000 0.729 Sb
0.365 0.271 0.000 Sb
0.635 0.729 0.000 Sb
0.000 0.000 0.000 Re
```

Results
- energy relative to the elements, uncorrected (meV per atom) = 251.3
- VASP energy (eV per atom) = -5.281
- D(E_F) (states/eV per cell) = 4.69
- space-group type = I4/mmm (139)

# ScReSb2

A relaxed ScReSb2 crystal (PBEsol, the Alexandria database).

Structure (POSCAR):
```
ScReSb2
1.0
-2.793 1.782 2.472
-2.958 -0.776 -2.782
2.073 -4.486 2.119
Re Sc Sb
1 1 2
direct
0.250 0.750 0.500 Re
0.500 0.500 0.000 Sc
0.750 0.250 0.500 Sb
0.000 0.000 0.000 Sb
```

Results
- energy relative to the elements, uncorrected (meV per atom) = 125.9
- VASP energy (eV per atom) = -7.137
- D(E_F) (states/eV per cell) = 3.61
- energy above the most stable polymorph in this dataset (meV/atom) = 256
- space-group type = I-4m2 (119)

# ScReSb2

A relaxed ScReSb2 crystal (PBEsol, the Alexandria database).

Structure (POSCAR):
```
ScReSb2
1.0
-2.000 2.636 -0.628
-3.302 -2.928 -1.773
-1.933 -0.437 4.323
Sb Re Sc
2 1 1
direct
0.000 0.000 0.500 Sb
0.000 0.500 0.000 Sb
0.500 0.500 0.500 Re
0.500 0.000 0.000 Sc
```

Results
- energy relative to the elements, uncorrected (meV per atom) = 16.6
- VASP energy (eV per atom) = -7.246
- D(E_F) (states/eV per cell) = 2.95
- energy above the most stable polymorph in this dataset (meV/atom) = 147
- space-group type = P4/mmm (123)

# ScReSb2

A relaxed ScReSb2 crystal (PBEsol, the Alexandria database).

Structure (POSCAR):
```
ScReSb2
1.0
3.428 0.000 0.000
0.000 3.428 0.000
0.000 0.000 6.981
Sb Re Sc
2 1 1
direct
0.500 0.500 0.301 Sb
0.000 0.000 0.941 Sb
0.500 0.500 0.739 Re
0.000 0.000 0.519 Sc
```

Results
- energy relative to the elements, uncorrected (meV per atom) = -129.9
- VASP energy (eV per atom) = -7.393
- D(E_F) (states/eV per cell) = 1.25
- energy above the most stable polymorph in this dataset (meV/atom) = 0
- space-group type = P4mm (99)

# ScReSb2

A relaxed ScReSb2 crystal (PBEsol, the Alexandria database).

Structure (POSCAR):
```
ScReSb2
1.0
-1.966 1.308 -2.249
-1.176 -2.961 -0.694
-5.161 0.873 5.020
Re Sb Sc
1 2 1
direct
0.500 0.500 0.500 Re
0.000 0.000 0.724 Sb
0.000 0.000 0.276 Sb
0.500 0.500 0.000 Sc
```

Results
- energy relative to the elements, uncorrected (meV per atom) = -69.5
- VASP energy (eV per atom) = -7.332
- D(E_F) (states/eV per cell) = 2.71
- energy above the most stable polymorph in this dataset (meV/atom) = 60
- space-group type = P4/mmm (123)

# ReSbSe2

A relaxed ReSbSe2 crystal (PBEsol, the Alexandria database).

Structure (POSCAR):
```
ReSbSe2
1.0
4.678 0.000 0.000
2.339 4.051 0.000
2.339 1.350 3.820
Sb Re Se
1 1 2
direct
0.250 0.250 0.250 Sb
0.500 0.500 0.500 Re
0.750 0.750 0.750 Se
0.000 0.000 0.000 Se
```

Results
- energy relative to the elements, uncorrected (meV per atom) = 748.2
- VASP energy (eV per atom) = -5.649
- D(E_F) (states/eV per cell) = 4.06
- space-group type = F-43m (216)

# ReSbSe2

A relaxed ReSbSe2 crystal (PBEsol, the Alexandria database).

Structure (POSCAR):
```
ReSbSe2
1.0
-1.770 -1.055 2.043
0.948 -2.047 1.825
3.383 7.344 8.786
Re Sb Se
1 1 2
direct
0.000 0.000 0.000 Re
0.500 0.500 0.500 Sb
0.931 0.931 0.206 Se
0.069 0.069 0.794 Se
```

Results
- energy relative to the elements, uncorrected (meV per atom) = 595.7
- VASP energy (eV per atom) = -5.802
- D(E_F) (states/eV per cell) = 3.94
- space-group type = R-3m (166)

# ReSb2Se

A relaxed ReSb2Se crystal (PBEsol, the Alexandria database).

Structure (POSCAR):
```
ReSb2Se
1.0
-4.771 -0.328 -0.333
-2.466 -2.488 3.273
-2.786 2.294 3.155
Sb Se Re
2 1 1
direct
0.000 0.000 0.000 Sb
0.750 0.750 0.750 Sb
0.250 0.250 0.250 Se
0.500 0.500 0.500 Re
```

Results
- energy relative to the elements, uncorrected (meV per atom) = 665.8
- VASP energy (eV per atom) = -5.908
- D(E_F) (states/eV per cell) = 1.37
- space-group type = F-43m (216)

# ReSb2Se

A relaxed ReSb2Se crystal (PBEsol, the Alexandria database).

Structure (POSCAR):
```
ReSb2Se
1.0
-0.955 -2.624 -1.757
4.720 -1.079 -0.955
-0.916 -2.463 4.177
Sb Re Se
2 1 1
direct
0.000 0.500 0.000 Sb
0.000 0.000 0.500 Sb
0.500 0.500 0.500 Re
0.500 0.000 0.000 Se
```

Results
- energy relative to the elements, uncorrected (meV per atom) = 708.5
- VASP energy (eV per atom) = -5.866
- D(E_F) (states/eV per cell) = 3.56
- space-group type = Cmmm (65)

# ReSbSe2

A relaxed ReSbSe2 crystal (PBEsol, the Alexandria database).

Structure (POSCAR):
```
ReSbSe2
1.0
3.092 0.000 0.000
0.000 4.389 0.000
-1.546 -2.194 6.137
Se Re Sb
2 1 1
direct
0.019 0.019 0.038 Se
0.824 0.324 0.647 Se
0.481 0.481 0.962 Re
0.176 0.676 0.352 Sb
```

Results
- energy relative to the elements, uncorrected (meV per atom) = 247.2
- VASP energy (eV per atom) = -6.150
- D(E_F) (states/eV per cell) = 2.03
- space-group type = Imm2 (44)

# ReSb2Se

A relaxed ReSb2Se crystal (PBEsol, the Alexandria database).

Structure (POSCAR):
```
ReSb2Se
1.0
-1.024 -3.014 -1.152
4.522 -1.254 1.672
-2.639 0.204 4.221
Re Sb Se
1 2 1
direct
0.500 0.500 0.500 Re
0.000 0.500 0.000 Sb
0.000 0.000 0.500 Sb
0.500 0.000 0.000 Se
```

Results
- energy relative to the elements, uncorrected (meV per atom) = 629.0
- VASP energy (eV per atom) = -5.945
- D(E_F) (states/eV per cell) = 1.96
- space-group type = C2/m (12)

# ReSb2Se

A relaxed ReSb2Se crystal (PBEsol, the Alexandria database).

Structure (POSCAR):
```
ReSb2Se
1.0
3.436 0.000 0.000
1.718 2.976 0.000
1.718 0.992 8.060
Re Sb Se
1 2 1
direct
0.000 0.000 0.000 Re
0.744 0.744 0.768 Sb
0.256 0.256 0.232 Sb
0.500 0.500 0.500 Se
```

Results
- energy relative to the elements, uncorrected (meV per atom) = 314.2
- VASP energy (eV per atom) = -6.260
- D(E_F) (states/eV per cell) = 2.75
- space-group type = R-3m (166)

# Re2SiSb

A relaxed Re2SiSb crystal (PBEsol, the Alexandria database).

Structure (POSCAR):
```
Re2SiSb
1.0
-2.271 1.795 -0.471
-0.437 -1.240 -2.622
-4.826 -5.243 3.285
Re Si Sb
2 1 1
direct
0.000 0.000 0.005 Re
0.500 0.500 0.215 Re
0.500 0.500 0.807 Si
0.000 0.000 0.473 Sb
```

Results
- energy relative to the elements, uncorrected (meV per atom) = 170.5
- VASP energy (eV per atom) = -9.071
- D(E_F) (states/eV per cell) = 2.10
- energy above the most stable polymorph in this dataset (meV/atom) = 0
- space-group type = P4mm (99)

# Re2SiSb

A relaxed Re2SiSb crystal (PBEsol, the Alexandria database).

Structure (POSCAR):
```
Re2SiSb
1.0
-0.018 2.751 1.110
0.511 0.437 2.890
8.173 1.728 -0.184
Sb Re Si
1 2 1
direct
0.500 0.500 0.500 Sb
0.744 0.744 0.769 Re
0.256 0.256 0.231 Re
0.000 0.000 0.000 Si
```

Results
- energy relative to the elements, uncorrected (meV per atom) = 377.2
- VASP energy (eV per atom) = -8.865
- D(E_F) (states/eV per cell) = 3.36
- energy above the most stable polymorph in this dataset (meV/atom) = 207
- space-group type = R-3m (166)

# Re2Si2Sb

A relaxed Re2Si2Sb crystal (PBEsol, the Alexandria database).

Structure (POSCAR):
```
Re2Si2Sb
1.0
-1.508 -3.147 -0.133
2.877 -1.436 1.362
-3.045 3.172 5.302
Si Sb Re
2 1 2
direct
0.750 0.250 0.500 Si
0.250 0.750 0.500 Si
0.000 0.000 0.000 Sb
0.615 0.615 0.230 Re
0.385 0.385 0.770 Re
```

Results
- energy relative to the elements, uncorrected (meV per atom) = -9.5
- VASP energy (eV per atom) = -8.552
- D(E_F) (states/eV per cell) = 3.38
- space-group type = I4/mmm (139)